(1)
Here is crystalline K2TmBr5 at its relaxed geometry from Alexandria via LeMat-Bulk. Energies are from PBE.

Results
energy above the lowest structure with this stoichiometry: 0 meV per atom
crystal system: orthorhombic
energy relative to the elements, uncorrected: -1399 kJ/mol of formula units

Unit cell a=13.4905 b=9.0175 c=8.5622 alpha=90.00 beta=90.00 gamma=90.00
Closest atoms and distances in Å follow each position.
Fractional positions:
K (0.1703, 0.0067, 0.0716)  7 Br 3.35-3.68
K (0.1703, 0.4933, 0.0716)  7 Br 3.35-3.68
K (0.3297, 0.5067, 0.5716)  7 Br 3.35-3.68
K (0.3297, 0.9933, 0.5716)  7 Br 3.35-3.68
K (0.6703, 0.0067, 0.4284)  7 Br 3.35-3.68
K (0.6703, 0.4933, 0.4284)  7 Br 3.35-3.68
K (0.8297, 0.5067, 0.9284)  7 Br 3.35-3.68
K (0.8297, 0.9933, 0.9284)  7 Br 3.35-3.68
Tm (0.0052, 0.2500, 0.5746)  7 Br 2.80-2.92
Tm (0.4948, 0.7500, 0.0746)  7 Br 2.80-2.92
Tm (0.5052, 0.2500, 0.9254)  7 Br 2.80-2.92
Tm (0.9948, 0.7500, 0.4254)  7 Br 2.80-2.92
Br (0.0122, 0.2500, 0.9111)  1 Tm 2.88
Br (0.0653, 0.5462, 0.6668)  2 Tm 2.90-2.92
Br (0.0653, 0.9538, 0.6668)  2 Tm 2.90-2.92
Br (0.1814, 0.2500, 0.3987)  1 Tm 2.81
Br (0.1973, 0.7500, 0.3542)  1 Tm 2.80
Br (0.3027, 0.2500, 0.8542)  1 Tm 2.80
Br (0.3186, 0.7500, 0.8987)  1 Tm 2.81
Br (0.4347, 0.0462, 0.1668)  2 Tm 2.90-2.92
Br (0.4347, 0.4538, 0.1668)  2 Tm 2.90-2.92
Br (0.4878, 0.7500, 0.4111)  1 Tm 2.88
Br (0.5122, 0.2500, 0.5889)  1 Tm 2.88
Br (0.5653, 0.5462, 0.8332)  2 Tm 2.90-2.92
Br (0.5653, 0.9538, 0.8332)  2 Tm 2.90-2.92
Br (0.6814, 0.2500, 0.1013)  1 Tm 2.81
Br (0.6973, 0.7500, 0.1458)  1 Tm 2.80
Br (0.8027, 0.2500, 0.6458)  1 Tm 2.80
Br (0.8186, 0.7500, 0.6013)  1 Tm 2.81
Br (0.9347, 0.0462, 0.3332)  2 Tm 2.90-2.92
Br (0.9347, 0.4538, 0.3332)  2 Tm 2.90-2.92
Br (0.9878, 0.7500, 0.0889)  1 Tm 2.88

---

(2)
Here is crystalline LiTlSbTe3 at its relaxed geometry from Alexandria via LeMat-Bulk. Energies are from PBE.

Results
crystal system: monoclinic
energy relative to the elements, uncorrected: -183 kJ/mol of formula units

Unit cell a=9.4835 b=4.1972 c=9.9242 alpha=90.00 beta=103.66 gamma=90.00
Closest atoms and distances in Å follow each position.
Fractional positions:
Li (0.0607, 0.2500, 0.1082)  4 Te 2.80-2.84, 2 Li 3.03
Li (0.9393, 0.7500, 0.8918)  4 Te 2.80-2.84, 2 Li 3.03
Tl (0.2121, 0.2500, 0.7792)  5 Te 3.33-3.64, 2 Li 3.70
Tl (0.7879, 0.7500, 0.2208)  5 Te 3.33-3.64, 2 Li 3.70
Sb (0.3207, 0.7500, 0.3661)  6 Te 3.01-3.11
Sb (0.6793, 0.2500, 0.6339)  6 Te 3.01-3.11
Te (0.1042, 0.2500, 0.4015)  1 Li 2.84, 2 Sb 3.01
Te (0.2295, 0.7500, 0.0434)  3 Li 2.80-2.81, 1 Sb 3.11
Te (0.4544, 0.7500, 0.6728)  3 Sb 3.01-3.08
Te (0.5456, 0.2500, 0.3272)  3 Sb 3.01-3.08
Te (0.7705, 0.2500, 0.9566)  3 Li 2.80-2.81, 1 Sb 3.11
Te (0.8958, 0.7500, 0.5985)  1 Li 2.84, 2 Sb 3.01

---

(3)
Here is crystalline Zr3ScTc4 at its relaxed geometry from Alexandria via LeMat-Bulk. Energies are from PBE.

Results
DFT total energy: -9.47 eV per atom
crystal system: tetragonal

Unit cell a=7.3202 b=7.3202 c=7.3202 alpha=142.96 beta=142.96 gamma=53.38
Closest atoms and distances in Å follow each position.
Fractional positions:
Zr (0.0000, 0.0000, 0.0000)  8 Tc 2.85
Zr (0.2518, 0.2518, 0.0000)  8 Tc 2.82-2.85
Zr (0.7482, 0.7482, 0.0000)  8 Tc 2.82-2.85
Sc (0.5000, 0.5000, 0.0000)  8 Tc 2.85
Tc (0.1258, 0.6258, 0.5000)  6 Zr 2.82-2.85, 2 Sc 2.85
Tc (0.3742, 0.8742, 0.5000)  6 Zr 2.82-2.85, 2 Sc 2.85
Tc (0.6258, 0.1258, 0.5000)  6 Zr 2.82-2.85, 2 Sc 2.85
Tc (0.8742, 0.3742, 0.5000)  6 Zr 2.82-2.85, 2 Sc 2.85

---

(4)
Here is crystalline YTmSiSe at its relaxed geometry from Alexandria via LeMat-Bulk. Energies are from PBE.

Results
crystal system: trigonal
energy relative to the elements, uncorrected: -499 kJ/mol of formula units

Unit cell a=7.1559 b=7.1559 c=7.1559 alpha=33.11 beta=33.11 gamma=33.11
Closest atoms and distances in Å follow each position.
Fractional positions:
Y (0.0000, 0.0000, 0.0000)  3 Si 2.85, 3 Se 2.98
Tm (0.4901, 0.4901, 0.4901)  3 Si 2.83, 3 Se 2.94
Si (0.7462, 0.7462, 0.7462)  3 Tm 2.83, 3 Y 2.85
Se (0.2434, 0.2434, 0.2434)  3 Tm 2.94, 3 Y 2.98

---

(5)
Here is crystalline TcW at its relaxed geometry from Alexandria via LeMat-Bulk. Energies are from PBE.

Results
energy above the lowest structure with this stoichiometry: 155 meV per atom
crystal system: orthorhombic

Unit cell a=2.7478 b=4.0109 c=5.6318 alpha=90.00 beta=90.00 gamma=90.00
Closest atoms and distances in Å follow each position.
Fractional positions:
Tc (0.2500, 0.2500, 0.1206)  6 W 2.74-2.89, 6 Tc 2.75-2.78
Tc (0.7500, 0.7500, 0.8794)  6 W 2.74-2.89, 6 Tc 2.75-2.78
W (0.2500, 0.2500, 0.6339)  6 Tc 2.74-2.89, 6 W 2.75-2.86
W (0.7500, 0.7500, 0.3661)  6 Tc 2.74-2.89, 6 W 2.75-2.86

---

(6)
Here is crystalline ErAgSn at its relaxed geometry from Alexandria via LeMat-Bulk. Energies are from PBE.

Results
DFT total energy: -4.26 eV per atom
crystal system: orthorhombic

Unit cell a=9.4087 b=4.4692 c=7.0690 alpha=90.00 beta=90.00 gamma=90.00
Closest atoms and distances in Å follow each position.
Fractional positions:
Er (0.1071, 0.2500, 0.1950)  4 Ag 2.97-3.08, 5 Sn 3.16-3.30
Er (0.3929, 0.7500, 0.6950)  4 Ag 2.97-3.08, 5 Sn 3.16-3.30
Er (0.6071, 0.2500, 0.3050)  4 Ag 2.97-3.08, 5 Sn 3.16-3.30
Er (0.8929, 0.7500, 0.8050)  4 Ag 2.97-3.08, 5 Sn 3.16-3.30
Ag (0.1154, 0.7500, 0.4943)  4 Sn 2.88-2.95, 4 Er 2.97-3.08, 2 Ag 3.12
Ag (0.3846, 0.2500, 0.9943)  4 Sn 2.88-2.95, 4 Er 2.97-3.08, 2 Ag 3.12
Ag (0.6154, 0.7500, 0.0057)  4 Sn 2.88-2.95, 4 Er 2.97-3.08, 2 Ag 3.12
Ag (0.8846, 0.2500, 0.5057)  4 Sn 2.88-2.95, 4 Er 2.97-3.08, 2 Ag 3.12
Sn (0.1383, 0.2500, 0.7501)  4 Ag 2.88-2.95, 1 Er 3.16
Sn (0.3617, 0.7500, 0.2501)  4 Ag 2.88-2.95, 1 Er 3.16
Sn (0.6383, 0.2500, 0.7499)  4 Ag 2.88-2.95, 1 Er 3.16
Sn (0.8617, 0.7500, 0.2499)  4 Ag 2.88-2.95, 1 Er 3.16

---

(7)
Here is crystalline Sm3ScTl3 at its relaxed geometry from Alexandria via LeMat-Bulk. Energies are from PBE.

Results
DFT total energy: -4.08 eV per atom
crystal system: hexagonal

Unit cell a=9.3869 b=9.3869 c=5.3201 alpha=90.00 beta=90.00 gamma=120.00
Closest atoms and distances in Å follow each position.
Fractional positions:
Sm (0.0105, 0.2432, 0.2500)  4 Tl 3.18-3.31, 4 Sm 3.47
Sm (0.2326, 0.9895, 0.2500)  4 Tl 3.18-3.31, 4 Sm 3.47
Sm (0.2432, 0.2326, 0.7500)  4 Tl 3.18-3.31, 4 Sm 3.47
Sm (0.7568, 0.7674, 0.2500)  4 Tl 3.18-3.31, 4 Sm 3.47
Sm (0.7674, 0.0105, 0.7500)  4 Tl 3.18-3.31, 4 Sm 3.47
Sm (0.9895, 0.7568, 0.7500)  4 Tl 3.18-3.31, 4 Sm 3.47
Sc (0.3333, 0.6667, 0.2500)  9 Tl 3.44-3.46, 3 Sm 3.60
Sc (0.6667, 0.3333, 0.7500)  9 Tl 3.44-3.46, 3 Sm 3.60
Tl (0.0790, 0.4579, 0.7500)  4 Sm 3.18-3.31, 2 Tl 3.33, 3 Sc 3.44-3.46
Tl (0.3789, 0.9210, 0.7500)  4 Sm 3.18-3.31, 2 Tl 3.33, 3 Sc 3.44-3.46
Tl (0.4579, 0.3789, 0.2500)  4 Sm 3.18-3.31, 2 Tl 3.33, 3 Sc 3.44-3.46
Tl (0.5421, 0.6211, 0.7500)  4 Sm 3.18-3.31, 2 Tl 3.33, 3 Sc 3.44-3.46
Tl (0.6211, 0.0790, 0.2500)  4 Sm 3.18-3.31, 2 Tl 3.33, 3 Sc 3.44-3.46
Tl (0.9210, 0.5421, 0.2500)  4 Sm 3.18-3.31, 2 Tl 3.33, 3 Sc 3.44-3.46

---

(8)
Here is crystalline LaNb2CdF at its relaxed geometry from Alexandria via LeMat-Bulk. Energies are from PBE.

Results
crystal system: tetragonal
energy relative to the elements, uncorrected: -63 kJ/mol of formula units

Unit cell a=4.4489 b=4.4489 c=5.2679 alpha=90.00 beta=90.00 gamma=90.00
Closest atoms and distances in Å follow each position.
Fractional positions:
La (0.0000, 0.0000, 0.0000)  4 Cd 3.15, 8 Nb 3.45
Nb (0.0000, 0.5000, 0.5000)  2 F 2.22
Nb (0.5000, 0.0000, 0.5000)  2 F 2.22
Cd (0.5000, 0.5000, 0.0000)  2 F 2.63
F (0.5000, 0.5000, 0.5000)  4 Nb 2.22

---

(9)
Here is crystalline TeRh2 at its relaxed geometry from Alexandria via LeMat-Bulk. Energies are from PBE.

Results
energy above the lowest structure with this stoichiometry: 193 meV per atom
crystal system: tetragonal
energy relative to the elements, uncorrected: 7 kJ/mol of formula units

Unit cell a=5.4335 b=5.4335 c=5.4335 alpha=121.69 beta=121.69 gamma=87.09
Closest atoms and distances in Å follow each position.
Fractional positions:
Te (0.2500, 0.2500, 0.0000)  8 Rh 2.76
Te (0.7500, 0.7500, 0.0000)  8 Rh 2.76
Rh (0.1830, 0.6830, 0.8659)  5 Rh 2.74, 4 Te 2.76
Rh (0.3170, 0.1830, 0.5000)  5 Rh 2.74, 4 Te 2.76
Rh (0.6830, 0.8170, 0.5000)  5 Rh 2.74, 4 Te 2.76
Rh (0.8170, 0.3170, 0.1341)  5 Rh 2.74, 4 Te 2.76

---

(10)
Here is crystalline YPu3P4 at its relaxed geometry from Alexandria via LeMat-Bulk. Energies are from PBE.

Results
DFT total energy: -10.15 eV per atom
crystal system: cubic

Unit cell a=5.6542 b=5.6542 c=5.6542 alpha=90.00 beta=90.00 gamma=90.00
Closest atoms and distances in Å follow each position.
Fractional positions:
Y (0.0000, 0.0000, 0.0000)  6 P 2.83
Pu (0.0000, 0.5000, 0.5000)  6 P 2.83
Pu (0.5000, 0.0000, 0.5000)  6 P 2.83
Pu (0.5000, 0.5000, 0.0000)  6 P 2.83
P (0.0000, 0.0000, 0.5000)  4 Pu 2.83, 2 Y 2.83
P (0.0000, 0.5000, 0.0000)  4 Pu 2.83, 2 Y 2.83
P (0.5000, 0.0000, 0.0000)  4 Pu 2.83, 2 Y 2.83
P (0.5000, 0.5000, 0.5000)  6 Pu 2.83

---

(11)
Here is crystalline Al2ReNi at its relaxed geometry from Alexandria via LeMat-Bulk. Energies are from PBE.

Results
energy above the lowest structure with this stoichiometry: 371 meV per atom
crystal system: cubic

Unit cell a=4.2649 b=4.2649 c=4.2649 alpha=60.00 beta=60.00 gamma=60.00
Closest atoms and distances in Å follow each position.
Fractional positions:
Al (0.0000, 0.0000, 0.0000)  4 Re 2.61, 4 Al 2.61
Al (0.2500, 0.2500, 0.2500)  4 Ni 2.61, 4 Al 2.61
Re (0.7500, 0.7500, 0.7500)  4 Ni 2.61, 4 Al 2.61
Ni (0.5000, 0.5000, 0.5000)  4 Re 2.61, 4 Al 2.61

---

(12)
Here is crystalline LiAc2MnH6 at its relaxed geometry from Alexandria via LeMat-Bulk. Energies are from PBE.

Results
DFT total energy: -4.26 eV per atom
crystal system: monoclinic

Unit cell a=5.4729 b=5.4729 c=5.4525 alpha=119.78 beta=119.78 gamma=90.44
Closest atoms and distances in Å follow each position.
Fractional positions:
Li (0.0000, 0.0000, 0.0000)  6 H 2.11-2.14
Ac (0.2503, 0.7497, 0.5000)  12 H 2.73-2.75
Ac (0.7497, 0.2503, 0.5000)  12 H 2.73-2.75
Mn (0.5000, 0.5000, 0.0000)  6 H 1.74-1.75
H (0.2742, 0.2742, 0.9999)  1 Mn 1.74
H (0.2743, 0.2743, 0.5487)  1 Mn 1.75
H (0.2754, 0.7246, 0.0000)  1 Mn 1.75
H (0.7246, 0.2754, 0.0000)  1 Mn 1.75
H (0.7258, 0.7258, 0.0001)  1 Mn 1.74
H (0.7257, 0.7257, 0.4513)  1 Mn 1.75

---

Which formula does entry 12 have? LiAc2MnH6